Entry 1:
DFT (PBE) results for a relaxed structure of KCuBr2F.

Cell and atoms, written as POSCAR:
```
KCuBr2F
1.0
4.635 0.000 0.000
0.000 6.933 0.311
0.000 -2.592 7.979
K Cu Br F
2 2 4 2
Cartesian
1.159 3.050 2.663 K
3.476 1.290 5.627 K
1.159 4.390 6.252 Cu
3.476 -0.050 2.038 Cu
3.476 4.786 5.392 Br
3.476 5.061 0.900 Br
1.159 -0.445 2.898 Br
1.159 -0.721 7.390 Br
1.159 2.688 5.426 F
3.476 1.652 2.864 F
```

## Properties
ρ ... 3.59 g cm⁻³
Polymorph energy (0 for the lowest one) ... 0.000 eV/atom
Formation energy (no corrections) ... -1256 meV per atom
E_tot ... -3.338 eV/atom
Volume ... 260 Å³/cell



Entry 2:
DFT (PBE) results for a relaxed structure of KCuBr2F.

Cell and atoms, written as POSCAR:
```
KCuBr2F
1.0
-0.768 3.433 3.912
0.676 -3.855 3.516
3.944 0.776 0.093
K Cu Br F
1 1 2 1
Cartesian
1.926 0.177 3.760 K
0.000 0.000 0.000 Cu
0.338 -1.927 1.758 Br
-0.384 1.717 1.956 Br
1.972 0.388 0.047 F
```

## Properties
ρ ... 4.20 g cm⁻³
Polymorph energy (0 for the lowest one) ... 0.039 eV/atom
Formation energy (no corrections) ... -1217 meV per atom
E_tot ... -3.299 eV/atom
Volume ... 111 Å³/cell



Entry 3:
DFT (PBE) results for a relaxed structure of KCuBrF2.

Cell and atoms, written as POSCAR:
```
KCuBrF2
1.0
-2.909 2.556 -1.829
-3.142 -2.310 1.770
0.080 2.929 3.965
K Cu Br F
1 1 1 2
Cartesian
-2.985 1.588 1.953 K
0.000 0.000 0.000 Cu
0.040 1.464 1.983 Br
-1.571 -1.155 0.885 F
-1.454 1.278 -0.915 F
```

## Properties
ρ ... 4.05 g cm⁻³
Formation energy (no corrections) ... -1543 meV per atom
E_tot ... -3.664 eV/atom
Volume ... 90 Å³/cell



Entry 4:
DFT (PBE) results for a relaxed structure of K2CuBr3F.

Cell and atoms, written as POSCAR:
```
K2CuBr3F
1.0
-4.156 -0.581 -0.526
0.866 -1.891 -4.754
2.325 -6.544 5.858
K Cu Br F
2 1 3 1
Cartesian
-1.449 -3.470 -1.716 K
0.485 -5.546 2.294 K
0.000 0.000 0.000 Cu
0.433 -0.945 -2.377 Br
0.211 -2.414 0.998 Br
-1.176 -6.602 -0.421 Br
-2.078 -0.290 -0.263 F
```

## Properties
ρ ... 3.59 g cm⁻³
Formation energy (no corrections) ... -1345 meV per atom
E_tot ... -3.228 eV/atom
Volume ... 185 Å³/cell



Which formula does entry 1 have?
KCuBr2F



Please write out number 3 again, unchanged.
DFT (PBE) results for a relaxed structure of KCuBrF2.

Cell and atoms, written as POSCAR:
```
KCuBrF2
1.0
-2.909 2.556 -1.829
-3.142 -2.310 1.770
0.080 2.929 3.965
K Cu Br F
1 1 1 2
Cartesian
-2.985 1.588 1.953 K
0.000 0.000 0.000 Cu
0.040 1.464 1.983 Br
-1.571 -1.155 0.885 F
-1.454 1.278 -0.915 F
```

## Properties
ρ ... 4.05 g cm⁻³
Formation energy (no corrections) ... -1543 meV per atom
E_tot ... -3.664 eV/atom
Volume ... 90 Å³/cell



What is the volume in the fourth record?
185 Å³/cell